Record 1
Y2Zn2In: optimized geometry, PBE.

The structure belongs to space group I4/mmm (No. 139); the cell edges are 3.625, 3.625 and 18.675 Å and the angles 90.00°, 90.00° and 90.00°. Symmetry generates all atoms from Y at (0.000, 0.000, 0.110), Zn at (0.000, 0.500, 0.250) and In at (0.000, 0.000, 0.500).

As for the energy of formation from the pure elements: -0.19 eV/atom. The density of states at the Fermi level is 5.4 states/eV/f.u. As for the total energy: -3.835 eV per atom.

Record 2
YZn2In: optimized geometry, PBE.

The structure belongs to space group F-43m (No. 216); the cell edges are 6.976, 6.976 and 6.976 Å and the angles 90.00°, 90.00° and 90.00°. Symmetry generates all atoms from Y at (0.000, 0.000, 0.000), Zn at (0.000, 0.000, 0.500), Zn at (0.250, 0.250, 0.750) and In at (0.250, 0.250, 0.250).

As for the energy of formation from the pure elements: -0.18 eV/atom. The density of states at the Fermi level is 1.2 states/eV/f.u. As for the total energy: -3.122 eV per atom.